[1]
BeNiIr3, optimized geometry, DFT PBE; SG = Pm-3m (221); M_tot = 1.846 μB per cell; theoretical density = 15.6 g/cm³; energy = -6.67 eV per atom; volume = 68.4 Å³ per cell; density of states at the Fermi level = 1.1173 states/eV per atom
1.0
-2.3524 -0.1833 -3.3413
-0.4829 -4.0229 0.5606
-3.3113 0.7169 2.2920
Ni Ir Be
1 3 1
Direct
0.5000 0.5000 0.5000 Ni
0.5000 0.0000 0.0000 Ir
0.0000 0.0000 0.5000 Ir
0.0000 0.5000 0.0000 Ir
0.0000 0.0000 0.0000 Be

[2]
Ce4Tm3P8, optimized geometry, DFT PBE; SG = C2/m (12); M_tot = 0.829 μB per cell; theoretical density = 6.0 g/cm³; energy = -6.64 eV per atom; volume = 366.9 Å³ per cell; density of states at the Fermi level = 0.6361 states/eV per atom
1.0
-6.7543 -3.3286 -2.9526
3.3399 -2.9553 6.6652
-0.2453 7.3054 3.2992
P Tm Ce
8 3 4
Direct
0.9969 0.7503 0.7503 P
0.0000 0.2473 0.7527 P
0.0000 0.7527 0.2473 P
0.4935 0.2464 0.2464 P
0.5000 0.2526 0.7474 P
0.0031 0.2497 0.2497 P
0.5065 0.7536 0.7536 P
0.5000 0.7474 0.2526 P
0.5000 0.5000 0.5000 Tm
0.5000 0.0000 0.5000 Tm
0.5000 0.5000 0.0000 Tm
0.5000 0.0000 0.0000 Ce
0.0000 0.0000 0.5000 Ce
0.0000 0.0000 0.0000 Ce
0.0000 0.5000 0.0000 Ce

[3]
TmZr2Cu, optimized geometry, DFT PBE; SG = R-3m (166); M_tot = 0.000 μB per cell; theoretical density = 7.6 g/cm³; energy = -6.08 eV per atom; volume = 90.5 Å³ per cell; density of states at the Fermi level = 1.2041 states/eV per atom
1.0
-3.0098 -0.7671 -0.3075
-1.1947 -0.5255 -2.8352
1.1593 -10.8181 -0.2013
Cu Zr Tm
1 2 1
Direct
0.5000 0.5000 0.5000 Cu
0.0991 0.0991 0.7026 Zr
0.9009 0.9009 0.2974 Zr
0.0000 0.0000 0.0000 Tm

[4]
Tb2Sm2DyMg5, optimized geometry, DFT PBE; SG = P4/mbm (127); M_tot = 0.000 μB per cell; theoretical density = 5.2 g/cm³; energy = -3.08 eV per atom; volume = 572.9 Å³ per cell; density of states at the Fermi level = 0.6841 states/eV per atom
1.0
5.0875 0.0000 0.0000
0.0000 10.6114 0.0000
0.0000 0.0000 10.6114
Mg Sm Tb Dy
10 4 4 2
Direct
0.5000 0.1968 0.0703 Mg
0.5000 0.6968 0.4297 Mg
0.5000 0.3032 0.5703 Mg
0.5000 0.8032 0.9297 Mg
0.5000 0.9297 0.1968 Mg
0.5000 0.4297 0.3032 Mg
0.5000 0.0000 0.5000 Mg
0.5000 0.5703 0.6968 Mg
0.5000 0.5000 0.0000 Mg
0.5000 0.0703 0.8032 Mg
0.0000 0.3230 0.8230 Sm
0.0000 0.6770 0.1770 Sm
0.0000 0.8230 0.6770 Sm
0.0000 0.1770 0.3230 Sm
0.0000 0.3794 0.1206 Tb
0.0000 0.6206 0.8794 Tb
0.0000 0.8794 0.3794 Tb
0.0000 0.1206 0.6206 Tb
0.0000 0.0000 0.0000 Dy
0.0000 0.5000 0.5000 Dy

[5]
AcHoRh4, optimized geometry, DFT PBE; SG = F-43m (216); M_tot = 0.000 μB per cell; theoretical density = 11.7 g/cm³; energy = -6.97 eV per atom; volume = 114.0 Å³ per cell; density of states at the Fermi level = 0.6061 states/eV per atom
1.0
-0.4640 4.4011 -3.1694
-4.7564 1.1467 -2.3856
-2.9292 4.2686 1.6819
Ac Rh Ho
1 4 1
Direct
0.0000 0.0000 0.0000 Ac
0.6243 0.6243 0.6243 Rh
0.6243 0.1270 0.6243 Rh
0.6243 0.6243 0.1270 Rh
0.1270 0.6243 0.6243 Rh
0.2500 0.2500 0.2500 Ho

[6]
Gd2ZnOs, optimized geometry, DFT PBE; SG = P4/mmm (123); M_tot = 14.261 μB per cell; theoretical density = 10.7 g/cm³; energy = -10.41 eV per atom; volume = 88.3 Å³ per cell; density of states at the Fermi level = 0.7991 states/eV per atom
1.0
3.4639 0.0000 0.0000
0.0000 3.4639 0.0000
0.0000 0.0000 7.3629
Gd Zn Os
2 1 1
Direct
0.0000 0.0000 0.7706 Gd
0.0000 0.0000 0.2294 Gd
0.5000 0.5000 0.5000 Zn
0.5000 0.5000 0.0000 Os

[7]
TaNbFeTe2, optimized geometry, DFT PBE; SG = P4/mmm (123); M_tot = 0.002 μB per cell; theoretical density = 7.9 g/cm³; energy relative to the elements, uncorrected = 1353 meV per atom; volume = 123.1 Å³ per cell; density of states at the Fermi level = 2.9442 states/eV per atom
1.0
5.2852 0.0000 0.0000
0.0000 4.4080 0.0000
0.0000 0.0000 5.2852
Te Ta Fe Nb
2 1 1 1
Direct
0.5000 0.0000 0.0000 Te
0.0000 0.0000 0.5000 Te
0.0000 0.0000 0.0000 Ta
0.0000 0.5000 0.0000 Fe
0.5000 0.5000 0.5000 Nb

[8]
MgScCdGa, optimized geometry, DFT PBE; SG = F-43m (216); M_tot = 0.000 μB per cell; theoretical density = 5.2 g/cm³; energy = -3.27 eV per atom; volume = 80.1 Å³ per cell; density of states at the Fermi level = 0.2449 states/eV per atom
1.0
-4.2419 -0.2214 -2.3172
-2.3949 -4.1958 -0.2667
-4.0952 -0.6115 2.5034
Cd Ga Sc Mg
1 1 1 1
Direct
0.7500 0.7500 0.7500 Cd
0.2500 0.2500 0.2500 Ga
0.0000 0.0000 0.0000 Sc
0.5000 0.5000 0.5000 Mg